The following is a PBE calculation of an optimized crystal structure of Li2MgPb8, from Alexandria via LeMat-Bulk. Values from VASP.

Output
- ΔH_f (0 K) (kJ per mole of atoms) = -5
- total energy (eV per atom) = -3.246
- offset from the most stable computed form (meV per atom) = 0
- DOS(E_F) (states/eV/cell) = 5.37
- crystal system = orthorhombic

Quantum ESPRESSO input file:
```
&SYSTEM
  ibrav = 0, nat = 11, ntyp = 3
/
ATOMIC_SPECIES
Li 6.94 Li.upf
Mg 24.30 Mg.upf
Pb 207.20 Pb.upf
ATOMIC_POSITIONS angstrom
Li 0.0000 0.0000 2.8036
Li 0.0000 0.0000 11.3357
Mg 0.0000 0.0000 7.0696
Pb 2.4326 2.0266 -2.2715
Pb 0.0000 1.7021 0.0000
Pb 2.4326 0.0000 5.0068
Pb 2.4326 2.0266 2.2715
Pb 0.0000 2.4928 4.7981
Pb 0.0000 4.5194 2.0628
Pb 0.0000 7.3367 0.0000
Pb 0.0000 2.4928 9.3412
CELL_PARAMETERS angstrom
-2.4326 4.5194 7.0696
2.4326 -4.5194 7.0696
2.4326 4.5194 -7.0696
```